Be2ReIr2: relaxed, PBE.

a = 3.826 Å, b = 3.826 Å, c = 5.077 Å
α = 67.86°, β = 67.86°, γ = 90.00°
Each line ends with the local moment (μB).
Positions (direct):
Re 0.000 0.000 0.000  0.52
Ir 0.750 0.250 0.500  0.00
Ir 0.250 0.750 0.500  0.00
Be 0.385 0.385 0.230  -0.01
Be 0.615 0.615 0.770  -0.01

* polymorph energy (0 for the lowest one): 494 meV/atom
* D(E_F): 3.9 states/eV/f.u.
* formation energy: 4.06 kcal/mol of atoms
* raw total energy: -7.35 eV/atom
* magnetic moment: 0.10 μB per atom